Arrangement A

! GGA-PBE La2ZnAs, relaxed; values from VASP
! Crystal system ... cubic
&SYSTEM
  ibrav = 0, nat = 4, ntyp = 3
/
ATOMIC_SPECIES
La 138.91 La.upf
Zn 65.41 Zn.upf
As 74.92 As.upf
ATOMIC_POSITIONS crystal
La 0.250 0.250 0.250
La 0.750 0.750 0.750
Zn 0.000 0.000 0.000
As 0.500 0.500 0.500
CELL_PARAMETERS angstrom
0.000 3.728 3.728
3.728 0.000 3.728
3.728 3.728 0.000


Arrangement B

! GGA-PBE La2ZnAs, relaxed; values from VASP
! Crystal system ... orthorhombic
&SYSTEM
  ibrav = 0, nat = 4, ntyp = 3
/
ATOMIC_SPECIES
La 138.91 La.upf
Zn 65.41 Zn.upf
As 74.92 As.upf
ATOMIC_POSITIONS crystal
La 0.000 0.500 0.000
La 0.500 0.000 0.000
Zn 0.000 0.000 0.500
As 0.500 0.500 0.500
CELL_PARAMETERS angstrom
3.618 -3.624 0.000
3.618 3.624 0.000
0.000 0.000 3.950


Relative stability in kJ/mol of atoms, measured from the most stable structure: arrangement A 7.1; arrangement B 0.0